(1)
The following is a DFT calculation (GGA-PBE) of a relaxed structure of Sc4IrW2.

Computed properties:
- N(E_F) (states/eV per cell) = 23.42
- calculated volume (Å³/atom) = 24.58
- ρ (Mg/m³) = 7.139
- energy relative to the elements (eV/atom) = 0.660

Cell: 5.156 5.156 12.943 Å, 90.00 90.00 90.00°
Space group I4/mmm (No. 139)
Asymmetric unit:
1 Sc 0.000 0.000 0.193 [4 per cell]
2 Sc 0.000 0.500 0.000 [4 per cell]
3 Ir 0.000 0.000 0.000 [2 per cell]
4 W 0.000 0.000 0.409 [4 per cell]

=====

(2)
The following is a DFT calculation (GGA-PBE) of a relaxed structure of K4Sn23.

Computed properties:
- N(E_F) (states/eV per cell) = 23.02
- calculated volume (Å³/atom) = 37.06
- ρ (Mg/m³) = 4.791
- energy relative to the elements (eV/atom) = -0.128

Cell: 12.601 12.601 12.601 Å, 90.00 90.00 90.00°
Space group Pm-3n (No. 223)
Asymmetric unit:
1 K 0.000 0.000 0.000 [2 per cell]
2 K 0.000 0.250 0.500 [6 per cell]
3 Sn 0.000 0.308 0.117 [24 per cell]
4 Sn 0.000 0.500 0.250 [6 per cell]
5 Sn 0.184 0.184 0.184 [16 per cell]

=====

(3)
The following is a DFT calculation (GGA-PBE) of a relaxed structure of SrAgRu2.

Computed properties:
- E above lowest polymorph (eV per atom) = 0.321
- N(E_F) (states/eV per cell) = 8.00
- calculated volume (Å³/atom) = 21.01
- ρ (Mg/m³) = 7.857
- energy relative to the elements (eV/atom) = 0.574

Cell: 4.175 5.061 7.955 Å, 90.00 90.00 90.00°
Space group Imm2 (No. 44)
Asymmetric unit:
1 Sr 0.000 0.000 0.000 [2 per cell]
2 Ag 0.000 0.500 0.781 [2 per cell]
3 Ru 0.000 0.000 0.564 [2 per cell]
4 Ru 0.000 0.500 0.210 [2 per cell]